12
Lattice="4.6308 -3.9926 0.0000 4.6308 3.9926 0.0000 -0.3957 0.0000 4.7645" Properties=species:S:1:pos:R:3 comment="Al2Rh (PBE, optimized geometry)" dos_ef_per_ev_atom=0.368 dft_energy_ev_per_atom=-5.565 formation_enthalpy_0k_ev_per_atom=-0.620 total_magnetization_mub_per_fu=0.00 pbc="T T T"
Al 4.3339 3.2407 3.5734
Al 2.0651 0.6270 4.6977
Al 4.5318 1.8392 1.1911
Al 2.2630 -0.6270 2.3155
Al 6.6028 0.6270 2.4491
Al 4.3339 -1.8392 3.5734
Al 6.8007 -0.6270 0.0668
Al 4.5318 -3.2407 1.1911
Rh 2.1175 1.9963 2.3823
Rh 4.3339 0.7601 3.5734
Rh 2.3154 -1.9963 0.0000
Rh 4.5318 -0.7601 1.1911